This record from Alexandria describes Li3ZnNi after structural relaxation. The functional is PBE.

Computed properties:
VASP energy (eV per cell): -11.13
Crystal system: cubic
V (Å³ per cell): 91

Lattice parameters (Å, degrees): 4.4939 4.4939 4.4939 90.00 90.00 90.00
Fractional coordinates of all 5 atoms:
Ni (0.0000, 0.0000, 0.0000)
Zn (0.5000, 0.5000, 0.5000)
Li (0.0000, 0.5000, 0.0000)
Li (0.0000, 0.0000, 0.5000)
Li (0.5000, 0.0000, 0.0000)